Crystalline NiPdN2F at its relaxed geometry. Source: Alexandria, functional PBE with a Hubbard U.

## Properties
- energy relative to the lowest polymorph listed for this composition (meV per atom) = 287
- SG = P4/mmm

a b c (Å): 3.9524 3.9524 4.2332
angles (deg): 90.00 90.00 90.00
With the nearest neighbours (Å) after each atom.
Fractional coordinates of all 5 atoms:
Ni1 0.0000 0.0000 0.0000  4 F 2.79, 8 N 2.90
Pd1 0.5000 0.5000 0.5000  4 N 1.98, 2 F 2.12
N1 0.0000 0.5000 0.5000  2 Pd 1.98
N2 0.5000 0.0000 0.5000  2 Pd 1.98
F1 0.5000 0.5000 0.0000  2 Pd 2.12